Entry 1:
The following is a DFT calculation (PBE) of crystalline LaPaN3 at its relaxed geometry.

- D(E_F): 0.05 states/eV/atom
- Final energy: -0.6774 Ry/atom
- Total moment: 0.00 μB/cell
- Space-group type: No. 12

abc: 7.0437 7.0437 6.7105
angles: 105.04 105.04 34.28
Last column: nearest neighbours and their distance in Å.
Atoms (fractional coordinates):
La (0.1392, 0.1392, 0.3469)  4 N 2.46-2.54
La (0.8608, 0.8608, 0.6531)  4 N 2.46-2.54
Pa (0.3595, 0.3595, 0.1215)  6 N 2.20-2.40
Pa (0.6405, 0.6405, 0.8785)  6 N 2.20-2.40
N (0.1814, 0.1814, 0.0011)  3 Pa 2.25-2.31
N (0.3284, 0.3284, 0.4261)  1 Pa 2.20, 1 La 2.46
N (0.4683, 0.4683, 0.8919)  1 N 1.47
N (0.5317, 0.5317, 0.1081)  1 N 1.47
N (0.6716, 0.6716, 0.5739)  1 Pa 2.20, 1 La 2.46
N (0.8186, 0.8186, 0.9989)  3 Pa 2.25-2.31

---

Entry 2:
The following is a DFT calculation (PBE) of crystalline LaPaN at its relaxed geometry.

- D(E_F): 1.71 states/eV/atom
- Final energy: -0.6119 Ry/atom
- Total moment: 0.05 μB/cell
- Space-group type: No. 156

abc: 3.5516 3.5516 6.2621
angles: 90.00 90.00 120.00
Last column: nearest neighbours and their distance in Å.
Atoms (fractional coordinates):
La (0.0000, 0.0000, 0.0000)  3 N 2.68
Pa (0.3333, 0.6667, 0.5404)  3 N 2.35
N (0.6667, 0.3333, 0.7236)  3 Pa 2.35

---

Entry 3:
The following is a DFT calculation (PBE) of crystalline LaPa6N8 at its relaxed geometry.

- D(E_F): 0.79 states/eV/atom
- Final energy: -0.7341 Ry/atom
- Total moment: 0.00 μB/cell
- Space-group type: No. 148

abc: 6.2673 6.2673 6.2673
angles: 99.94 99.94 99.94
Last column: nearest neighbours and their distance in Å.
Atoms (fractional coordinates):
La (0.0000, 0.0000, 0.0000)  6 N 2.74
Pa (0.1269, 0.5682, 0.2756)  3 N 2.17-2.42
Pa (0.2756, 0.1269, 0.5682)  3 N 2.17-2.42
Pa (0.4318, 0.7244, 0.8731)  3 N 2.17-2.42
Pa (0.5682, 0.2756, 0.1269)  3 N 2.17-2.42
Pa (0.7244, 0.8731, 0.4318)  3 N 2.17-2.42
Pa (0.8731, 0.4318, 0.7244)  3 N 2.17-2.42
N (0.0975, 0.7736, 0.6263)  5 Pa 2.40-2.67
N (0.2264, 0.3737, 0.9025)  5 Pa 2.40-2.67
N (0.3531, 0.3531, 0.3531)  3 Pa 2.17
N (0.3737, 0.9025, 0.2264)  5 Pa 2.40-2.67
N (0.6263, 0.0975, 0.7736)  5 Pa 2.40-2.67
N (0.6469, 0.6469, 0.6469)  3 Pa 2.17
N (0.7736, 0.6263, 0.0975)  5 Pa 2.40-2.67
N (0.9025, 0.2264, 0.3737)  5 Pa 2.40-2.67

---

Entry 4:
The following is a DFT calculation (PBE) of crystalline LaPa4N8 at its relaxed geometry.

- D(E_F): 1.05 states/eV/atom
- Final energy: -0.7089 Ry/atom
- Total moment: 0.44 μB/cell
- Space-group type: No. 166

abc: 7.0101 7.0101 7.0101
angles: 61.66 61.66 61.66
Last column: nearest neighbours and their distance in Å.
Atoms (fractional coordinates):
La (0.0000, 0.0000, 0.0000)  6 N 2.70
Pa (0.0000, 0.5000, 0.5000)  6 N 2.28-2.29
Pa (0.5000, 0.0000, 0.5000)  6 N 2.28-2.29
Pa (0.5000, 0.5000, 0.0000)  6 N 2.28-2.29
Pa (0.5000, 0.5000, 0.5000)  6 N 2.36
N (0.2660, 0.2660, 0.6856)  3 Pa 2.29-2.36
N (0.2660, 0.6856, 0.2660)  3 Pa 2.29-2.36
N (0.2777, 0.2777, 0.2777)  3 Pa 2.28
N (0.3144, 0.7340, 0.7340)  3 Pa 2.29-2.36
N (0.6856, 0.2660, 0.2660)  3 Pa 2.29-2.36
N (0.7223, 0.7223, 0.7223)  3 Pa 2.28
N (0.7340, 0.3144, 0.7340)  3 Pa 2.29-2.36
N (0.7340, 0.7340, 0.3144)  3 Pa 2.29-2.36

---

Entry 5:
The following is a DFT calculation (PBE) of crystalline LaPa7N12 at its relaxed geometry.

- D(E_F): 0.75 states/eV/atom
- Final energy: -0.7399 Ry/atom
- Total moment: 2.09 μB/cell
- Space-group type: No. 204

abc: 7.4248 7.4248 7.4248
angles: 109.47 109.47 109.47
Last column: nearest neighbours and their distance in Å.
Atoms (fractional coordinates):
La (0.0000, 0.0000, 0.0000)  12 N 3.08
Pa (0.0000, 0.0000, 0.5000)  6 N 2.28
Pa (0.0000, 0.5000, 0.0000)  6 N 2.28
Pa (0.0000, 0.5000, 0.5000)  4 N 2.24
Pa (0.5000, 0.0000, 0.0000)  6 N 2.28
Pa (0.5000, 0.0000, 0.5000)  4 N 2.24
Pa (0.5000, 0.5000, 0.0000)  4 N 2.24
Pa (0.5000, 0.5000, 0.5000)  6 N 2.28
N (0.1302, 0.8194, 0.3107)  3 Pa 2.24-2.28
N (0.1806, 0.3107, 0.4913)  3 Pa 2.24-2.28
N (0.1806, 0.6893, 0.8698)  3 Pa 2.24-2.28
N (0.3107, 0.1302, 0.8194)  3 Pa 2.24-2.28
N (0.3107, 0.4913, 0.1806)  3 Pa 2.24-2.28
N (0.4913, 0.1806, 0.3107)  3 Pa 2.24-2.28
N (0.5087, 0.8194, 0.6893)  3 Pa 2.24-2.28
N (0.6893, 0.5087, 0.8194)  3 Pa 2.24-2.28
N (0.6893, 0.8698, 0.1806)  3 Pa 2.24-2.28
N (0.8194, 0.3107, 0.1302)  3 Pa 2.24-2.28
N (0.8194, 0.6893, 0.5087)  3 Pa 2.24-2.28
N (0.8698, 0.1806, 0.6893)  3 Pa 2.24-2.28

---

Entry 6:
The following is a DFT calculation (PBE) of crystalline LaPaN3 at its relaxed geometry.

- D(E_F): 0.49 states/eV/atom
- Final energy: -0.6612 Ry/atom
- Total moment: 0.00 μB/cell
- Space-group type: No. 221

abc: 4.3592 4.3592 4.3592
angles: 90.00 90.00 90.00
Last column: nearest neighbours and their distance in Å.
Atoms (fractional coordinates):
La (0.0000, 0.0000, 0.0000)  12 N 3.08
Pa (0.5000, 0.5000, 0.5000)  6 N 2.18
N (0.0000, 0.5000, 0.5000)  2 Pa 2.18
N (0.5000, 0.0000, 0.5000)  2 Pa 2.18
N (0.5000, 0.5000, 0.0000)  2 Pa 2.18

---

Entry 7:
The following is a DFT calculation (PBE) of crystalline La2PaN4 at its relaxed geometry.

- D(E_F): 0.72 states/eV/atom
- Final energy: -0.6539 Ry/atom
- Total moment: 1.17 μB/cell
- Space-group type: No. 55

abc: 6.1284 10.4530 3.6629
angles: 90.00 90.00 90.00
Last column: nearest neighbours and their distance in Å.
Atoms (fractional coordinates):
La (0.0551, 0.1746, 0.0000)  6 N 2.44-2.63
La (0.4449, 0.6746, 0.0000)  6 N 2.44-2.63
La (0.5551, 0.3254, 0.0000)  6 N 2.44-2.63
La (0.9449, 0.8254, 0.0000)  6 N 2.44-2.63
Pa (0.0000, 0.5000, 0.5000)  6 N 2.18-2.35
Pa (0.5000, 0.0000, 0.5000)  6 N 2.18-2.35
N (0.1473, 0.6902, 0.5000)  1 Pa 2.18
N (0.2306, 0.4613, 0.0000)  2 Pa 2.35, 2 La 2.44-2.59
N (0.2694, 0.9613, 0.0000)  2 Pa 2.35, 2 La 2.44-2.59
N (0.3527, 0.1902, 0.5000)  1 Pa 2.18
N (0.6473, 0.8098, 0.5000)  1 Pa 2.18
N (0.7306, 0.0387, 0.0000)  2 Pa 2.35, 2 La 2.44-2.59
N (0.7694, 0.5387, 0.0000)  2 Pa 2.35, 2 La 2.44-2.59
N (0.8527, 0.3098, 0.5000)  1 Pa 2.18

---

Entry 8:
The following is a DFT calculation (PBE) of crystalline LaPa2N3 at its relaxed geometry.

- D(E_F): 0.44 states/eV/atom
- Final energy: -0.7036 Ry/atom
- Total moment: 0.00 μB/cell
- Space-group type: No. 191

abc: 5.9325 5.9325 3.3504
angles: 90.00 90.00 120.00
Last column: nearest neighbours and their distance in Å.
Atoms (fractional coordinates):
La (0.0000, 0.0000, 0.0000)  6 N 2.97
Pa (0.3333, 0.6667, 0.5000)  6 N 2.40
Pa (0.6667, 0.3333, 0.5000)  6 N 2.40
N (0.0000, 0.5000, 0.0000)  4 Pa 2.40
N (0.5000, 0.0000, 0.0000)  4 Pa 2.40
N (0.5000, 0.5000, 0.0000)  4 Pa 2.40

---

Entry 9:
The following is a DFT calculation (PBE) of crystalline La2Pa3N8 at its relaxed geometry.

- D(E_F): 0.89 states/eV/atom
- Final energy: -0.6793 Ry/atom
- Total moment: 0.00 μB/cell
- Space-group type: No. 12

abc: 6.8935 6.8935 5.9325
angles: 108.51 108.51 61.25
Last column: nearest neighbours and their distance in Å.
Atoms (fractional coordinates):
La (0.2149, 0.2149, 0.1452)  6 N 2.55-2.72
La (0.7851, 0.7851, 0.8548)  6 N 2.55-2.72
Pa (0.2394, 0.7606, 0.5000)  6 N 2.21-2.32
Pa (0.5000, 0.5000, 0.0000)  6 N 2.25-2.31
Pa (0.7606, 0.2394, 0.5000)  6 N 2.21-2.32
N (0.1087, 0.1087, 0.4482)  2 Pa 2.21
N (0.1751, 0.5978, 0.1080)  2 Pa 2.24-2.25
N (0.4011, 0.4011, 0.5830)  3 Pa 2.31-2.32
N (0.4022, 0.8249, 0.8920)  2 Pa 2.24-2.25
N (0.5978, 0.1751, 0.1080)  2 Pa 2.24-2.25
N (0.5989, 0.5989, 0.4170)  3 Pa 2.31-2.32
N (0.8249, 0.4022, 0.8920)  2 Pa 2.24-2.25
N (0.8913, 0.8913, 0.5518)  2 Pa 2.21

---

Entry 10:
The following is a DFT calculation (PBE) of crystalline LaPaN3 at its relaxed geometry.

- D(E_F): 0.76 states/eV/atom
- Final energy: -0.6721 Ry/atom
- Total moment: 0.00 μB/cell
- Space-group type: No. 59

abc: 3.6947 5.8331 7.1079
angles: 90.00 90.00 90.00
Last column: nearest neighbours and their distance in Å.
Atoms (fractional coordinates):
La (0.2500, 0.2500, 0.1209)  2 N 2.36
La (0.7500, 0.7500, 0.8791)  2 N 2.36
Pa (0.2500, 0.7500, 0.3966)  7 N 2.20-2.39
Pa (0.7500, 0.2500, 0.6034)  7 N 2.20-2.39
N (0.2500, 0.5055, 0.6467)  3 Pa 2.28-2.39
N (0.2500, 0.7500, 0.0865)  1 Pa 2.20, 2 La 2.36
N (0.2500, 0.9945, 0.6467)  3 Pa 2.28-2.39
N (0.7500, 0.0055, 0.3533)  3 Pa 2.28-2.39
N (0.7500, 0.2500, 0.9135)  1 Pa 2.20, 2 La 2.36
N (0.7500, 0.4945, 0.3533)  3 Pa 2.28-2.39

---

Q: Look up the total moment of the tenth one.
A: 0.00 μB/cell